DFT (GGA-PBE) results for crystalline TaMo3Pd at its relaxed geometry.

The structure in CIF format:
```
data_TaMo3Pd
_chemical_formula_sum 'Ta1 Mo3 Pd1'
_cell_length_a 4.7136
_cell_length_b 4.7136
_cell_length_c 4.7136
_cell_angle_alpha 90.00
_cell_angle_beta 90.00
_cell_angle_gamma 90.00
_symmetry_space_group_name_H-M 'P 1'
_symmetry_Int_Tables_number 1
_symmetry_space_group_name_Hall 'P 1'
loop_
_atom_site_label
_atom_site_type_symbol
_atom_site_fract_x
_atom_site_fract_y
_atom_site_fract_z
Ta1 Ta 0.0000 0.0000 0.0000
Mo1 Mo 0.0000 0.0000 0.5000
Mo2 Mo 0.0000 0.5000 0.0000
Mo3 Mo 0.5000 0.0000 0.0000
Pd1 Pd 0.5000 0.5000 0.5000
```

Properties
Symmetry: No. 221
Crystal system: cubic
Excess energy over the best structure of this formula in the dataset in meV/atom: 0.0
ΔE_f in eV per formula unit: 9.2
Uncorrected energy in eV/atom: -8.075

DFT (GGA-PBE) results for crystalline Ta5Mo4Pd at its relaxed geometry.

The structure in CIF format:
```
data_Ta5Mo4Pd
_chemical_formula_sum 'Ta5 Mo4 Pd1'
_cell_length_a 3.2524
_cell_length_b 3.2524
_cell_length_c 15.9906
_cell_angle_alpha 90.00
_cell_angle_beta 90.00
_cell_angle_gamma 90.00
_symmetry_space_group_name_H-M 'P 1'
_symmetry_Int_Tables_number 1
_symmetry_space_group_name_Hall 'P 1'
loop_
_atom_site_label
_atom_site_type_symbol
_atom_site_fract_x
_atom_site_fract_y
_atom_site_fract_z
Ta1 Ta 0.0000 0.0000 0.0000
Ta2 Ta 0.0000 0.0000 0.2009
Ta3 Ta 0.0000 0.0000 0.3960
Ta4 Ta 0.0000 0.0000 0.6040
Ta5 Ta 0.0000 0.0000 0.7991
Mo1 Mo 0.5000 0.5000 0.1004
Mo2 Mo 0.5000 0.5000 0.3033
Mo3 Mo 0.5000 0.5000 0.6967
Mo4 Mo 0.5000 0.5000 0.8996
Pd1 Pd 0.5000 0.5000 0.5000
```

Properties
Symmetry: No. 123
Crystal system: tetragonal
ΔE_f in eV per formula unit: -2.0
Uncorrected energy in eV/atom: -10.977

DFT (GGA-PBE) results for crystalline TaMoPd at its relaxed geometry.

The structure in CIF format:
```
data_TaMoPd
_chemical_formula_sum 'Ta1 Mo1 Pd1'
_cell_length_a 4.6385
_cell_length_b 4.6385
_cell_length_c 2.6622
_cell_angle_alpha 90.00
_cell_angle_beta 90.00
_cell_angle_gamma 120.00
_symmetry_space_group_name_H-M 'P 1'
_symmetry_Int_Tables_number 1
_symmetry_space_group_name_Hall 'P 1'
loop_
_atom_site_label
_atom_site_type_symbol
_atom_site_fract_x
_atom_site_fract_y
_atom_site_fract_z
Ta1 Ta 0.0000 0.0000 0.0000
Mo1 Mo 0.3333 0.6667 0.5028
Pd1 Pd 0.6667 0.3333 0.0037
```

Properties
Symmetry: No. 156
Crystal system: trigonal
Excess energy over the best structure of this formula in the dataset in meV/atom: 0.0
ΔE_f in eV per formula unit: 0.2
Uncorrected energy in eV/atom: -9.242